Nd2MgOs2 after structural relaxation. Source: Alexandria via LeMat-Bulk, functional PBE.

Results
formation energy from the elements: -0.025 eV/atom
density: 10.0 g/cm3

```
Nd2MgOs2
1.0
4.949 -2.848 0.000
4.949 2.848 0.000
-2.275 0.000 8.175
Nd Mg Os
4 2 4
Direct
0.004 0.700 0.852
0.300 0.996 0.648
0.700 0.004 0.352
0.996 0.300 0.148
0.369 0.631 0.250
0.631 0.369 0.750
0.207 0.507 0.491
0.493 0.793 0.009
0.507 0.207 0.991
0.793 0.493 0.509
```